Entry 1:
DFT (SCAN) results for a crystal of Al2ZnP relaxed with PBEsol.

```
Al2ZnP
1.0
3.4835 0.0000 0.0000
0.0000 4.6659 0.0000
0.0000 0.0000 7.6819
Al Zn P
4 2 2
direct
0.0000 0.0000 0.2346
0.0000 0.0000 0.7654
0.5000 0.5000 0.2654
0.5000 0.5000 0.7346
0.0000 0.5000 0.0000
0.5000 0.0000 0.5000
0.0000 0.5000 0.5000
0.5000 0.0000 0.0000
```

As for the density of states at the Fermi level: 3.01 states/eV per cell. The value obtained for the calculated formation energy is 0.108 eV per atom. As for the space-group type: No. 71. The value obtained for the excess energy over the best structure of this formula in the dataset is 20 meV/atom. The total energy comes out at -38.98 eV per formula unit. Its spin magnetization is 0.000 μB/atom.

***

Entry 2:
DFT (SCAN) results for a crystal of CaFeGe2O6 relaxed with PBEsol.

```
CaFeGe2O6
1.0
5.1349 -4.4196 0.0000
5.1349 4.4196 0.0000
-1.1851 0.0000 5.2088
Ca Fe Ge O
2 2 4 12
direct
0.1900 0.8100 0.7500
0.8100 0.1900 0.2500
0.4212 0.5788 0.2500
0.5788 0.4212 0.7500
0.1100 0.3187 0.7694
0.3187 0.1100 0.2694
0.6813 0.8900 0.7306
0.8900 0.6813 0.2306
0.1079 0.1738 0.0230
0.1368 0.6016 0.3524
0.1738 0.1079 0.5230
0.2899 0.4858 0.8617
0.3984 0.8632 0.1476
0.4858 0.2899 0.3617
0.5142 0.7101 0.6383
0.6016 0.1368 0.8524
0.7101 0.5142 0.1383
0.8262 0.8921 0.4770
0.8632 0.3984 0.6476
0.8921 0.8262 0.9770
```

As for the density of states at the Fermi level: 1.23 states/eV per cell. As for the space-group type: No. 15. The total energy comes out at -124.20 eV per formula unit. Its spin magnetization is 0.401 μB/atom.

***

Entry 3:
DFT (SCAN) results for a crystal of Li4SnS4 relaxed with PBEsol.

```
Li4SnS4
1.0
14.2131 0.0000 0.0000
0.0000 7.8322 0.0000
0.0000 0.0000 6.2442
Li Sn S
16 4 16
direct
0.0000 0.0000 0.0000
0.0000 0.5000 0.0000
0.0896 0.2500 0.3734
0.1767 0.5031 0.8181
0.1767 0.9969 0.8181
0.3233 0.0031 0.3181
0.3233 0.4969 0.3181
0.4104 0.7500 0.8734
0.5000 0.0000 0.5000
0.5000 0.5000 0.5000
0.5896 0.2500 0.1266
0.6767 0.5031 0.6819
0.6767 0.9969 0.6819
0.8233 0.0031 0.1819
0.8233 0.4969 0.1819
0.9104 0.7500 0.6266
0.0921 0.7500 0.3577
0.4079 0.2500 0.8577
0.5921 0.7500 0.1423
0.9079 0.2500 0.6423
0.0690 0.2500 0.7689
0.0806 0.7500 0.7408
0.1609 0.0027 0.2133
0.1609 0.4973 0.2133
0.3391 0.5027 0.7133
0.3391 0.9973 0.7133
0.4194 0.2500 0.2408
0.4310 0.7500 0.2689
0.5690 0.2500 0.7311
0.5806 0.7500 0.7592
0.6609 0.0027 0.2867
0.6609 0.4973 0.2867
0.8391 0.5027 0.7867
0.8391 0.9973 0.7867
0.9194 0.2500 0.2592
0.9310 0.7500 0.2311
```

As for the density of states at the Fermi level: 0.00 states/eV per cell. As for the space-group type: No. 62. The total energy comes out at -94.69 eV per formula unit. Its spin magnetization is 0.000 μB/atom.

***

Entry 4:
DFT (SCAN) results for a crystal of NiCSCl2 relaxed with PBEsol.

```
NiCSCl2
1.0
4.1115 0.0000 0.0000
0.0000 4.1115 0.0000
0.0000 0.0000 4.2766
Ni C S Cl
1 1 1 2
direct
0.0000 0.0000 0.0000
0.5000 0.5000 0.5000
0.5000 0.5000 0.0000
0.0000 0.5000 0.5000
0.5000 0.0000 0.5000
```

As for the density of states at the Fermi level: 1.95 states/eV per cell. As for the space-group type: No. 123. The total energy comes out at -45.62 eV per formula unit. Its spin magnetization is 0.348 μB/atom.

***

Entry 5:
DFT (SCAN) results for a crystal of K2AsPt relaxed with PBEsol.

```
K2AsPt
1.0
4.1250 0.0000 0.0000
0.0000 4.1250 0.0000
0.0000 0.0000 5.0948
K As Pt
2 1 1
direct
0.0000 0.5000 0.0000
0.5000 0.0000 0.0000
0.0000 0.0000 0.5000
0.5000 0.5000 0.5000
```

As for the density of states at the Fermi level: 1.20 states/eV per cell. The value obtained for the calculated formation energy is -0.059 eV per atom. As for the space-group type: No. 123. The total energy comes out at -107.28 eV per formula unit. Its spin magnetization is 0.000 μB/atom.

***

Entry 6:
DFT (SCAN) results for a crystal of Cu2SiRh relaxed with PBEsol.

```
Cu2SiRh
1.0
2.6388 0.0000 0.0000
0.0000 2.6388 0.0000
0.0000 0.0000 7.1461
Cu Si Rh
2 1 1
direct
0.0000 0.0000 0.2410
0.0000 0.0000 0.7590
0.5000 0.5000 0.0000
0.5000 0.5000 0.5000
```

As for the density of states at the Fermi level: 4.15 states/eV per cell. As for the space-group type: No. 123. The total energy comes out at -73.57 eV per formula unit. Its spin magnetization is 0.002 μB/atom.

***

Entry 7:
DFT (SCAN) results for a crystal of SbAuC3 relaxed with PBEsol.

```
SbAuC3
1.0
4.1153 0.0000 0.0000
0.0000 4.1153 0.0000
0.0000 0.0000 4.1153
Sb Au C
1 1 3
direct
0.0000 0.0000 0.0000
0.5000 0.5000 0.5000
0.0000 0.5000 0.5000
0.5000 0.0000 0.5000
0.5000 0.5000 0.0000
```

As for the density of states at the Fermi level: 3.75 states/eV per cell. As for the space-group type: No. 221. The total energy comes out at -121.99 eV per formula unit. Its spin magnetization is 0.402 μB/atom.

***

Entry 8:
DFT (SCAN) results for a crystal of Cr2ReRh relaxed with PBEsol.

```
Cr2ReRh
1.0
5.3108 0.0000 0.0000
0.0000 7.3285 0.0000
0.0000 0.0000 2.6224
Cr Re Rh
4 2 2
direct
0.2500 0.2500 0.0000
0.2500 0.7500 0.0000
0.7500 0.2500 0.0000
0.7500 0.7500 0.0000
0.0000 0.0000 0.5000
0.5000 0.5000 0.5000
0.0000 0.5000 0.5000
0.5000 0.0000 0.5000
```

As for the density of states at the Fermi level: 6.58 states/eV per cell. The value obtained for the calculated formation energy is 0.076 eV per atom. As for the space-group type: No. 65. The total energy comes out at -141.33 eV per formula unit. Its spin magnetization is 0.000 μB/atom.

***

Entry 9:
DFT (SCAN) results for a crystal of LaCuNi2 relaxed with PBEsol.

```
LaCuNi2
1.0
4.1093 0.0000 0.0000
-2.0546 3.5587 0.0000
0.0000 0.0000 13.8649
La Cu Ni
3 3 6
direct
0.0000 0.0000 0.0000
0.3333 0.6667 0.6667
0.6667 0.3333 0.3333
0.0000 0.0000 0.5000
0.3333 0.6667 0.1667
0.6667 0.3333 0.8333
0.0000 0.0000 0.1923
0.0000 0.0000 0.8077
0.3333 0.6667 0.4743
0.3333 0.6667 0.8590
0.6667 0.3333 0.1410
0.6667 0.3333 0.5257
```

As for the density of states at the Fermi level: 7.24 states/eV per cell. The value obtained for the calculated formation energy is -0.244 eV per atom. As for the space-group type: No. 166. The total energy comes out at -91.63 eV per formula unit. Its spin magnetization is 0.000 μB/atom.

***

Entry 10:
DFT (SCAN) results for a crystal of CoTcPt2 relaxed with PBEsol.

```
CoTcPt2
1.0
2.6786 0.0000 0.0000
0.0000 2.6786 0.0000
0.0000 0.0000 7.5618
Co Tc Pt
1 1 2
direct
0.0000 0.0000 0.0000
0.0000 0.0000 0.5000
0.5000 0.5000 0.2425
0.5000 0.5000 0.7575
```

As for the density of states at the Fermi level: 2.59 states/eV per cell. The value obtained for the calculated formation energy is -0.182 eV per atom. As for the space-group type: No. 123. The value obtained for the excess energy over the best structure of this formula in the dataset is 0 meV/atom. The total energy comes out at -193.48 eV per formula unit. Its spin magnetization is 0.508 μB/atom.

***

Entry 11:
DFT (SCAN) results for a crystal of NaLaTa3 relaxed with PBEsol.

```
NaLaTa3
1.0
4.9343 0.0000 0.0000
0.0000 4.9343 0.0000
0.0000 0.0000 4.9343
Na La Ta
1 1 3
direct
0.0000 0.0000 0.0000
0.5000 0.5000 0.5000
0.0000 0.5000 0.5000
0.5000 0.0000 0.5000
0.5000 0.5000 0.0000
```

As for the density of states at the Fermi level: 4.20 states/eV per cell. The value obtained for the calculated formation energy is 2.242 eV per atom. As for the space-group type: No. 221. The value obtained for the excess energy over the best structure of this formula in the dataset is 94 meV/atom. The total energy comes out at -235.86 eV per formula unit. Its spin magnetization is 0.000 μB/atom.

***

Entry 12:
DFT (SCAN) results for a crystal of RbLi2As2 relaxed with PBEsol.

```
RbLi2As2
1.0
4.6955 0.0000 0.0000
0.0000 4.6955 0.0000
0.0000 0.0000 10.0220
Rb Li As
2 4 4
direct
0.0000 0.0000 0.0000
0.5000 0.5000 0.5000
0.0000 0.5000 0.2500
0.0000 0.5000 0.7500
0.5000 0.0000 0.2500
0.5000 0.0000 0.7500
0.0000 0.0000 0.3800
0.0000 0.0000 0.6200
0.5000 0.5000 0.1200
0.5000 0.5000 0.8800
```

As for the density of states at the Fermi level: 5.95 states/eV per cell. The value obtained for the calculated formation energy is -0.582 eV per atom. As for the space-group type: No. 139. The total energy comes out at -68.81 eV per formula unit. Its spin magnetization is 0.000 μB/atom.

***

Entry 13:
DFT (SCAN) results for a crystal of LiTl relaxed with PBEsol.

```
LiTl
1.0
10.9173 0.0000 0.0000
0.0000 3.4346 0.0000
-2.0361 0.0000 6.7588
Li Tl
6 6
direct
0.0000 0.0000 0.0000
0.0514 0.0000 0.5800
0.1936 0.5000 0.3354
0.5000 0.5000 0.0000
0.5514 0.5000 0.5800
0.6936 0.0000 0.3354
0.1938 0.5000 0.9134
0.3491 0.0000 0.6722
0.4025 0.0000 0.2496
0.6938 0.0000 0.9134
0.8491 0.5000 0.6722
0.9025 0.5000 0.2496
```

As for the density of states at the Fermi level: 3.97 states/eV per cell. The value obtained for the calculated formation energy is -0.256 eV per atom. As for the space-group type: No. 8. The total energy comes out at -75.26 eV per formula unit. Its spin magnetization is 0.000 μB/atom.

***

Entry 14:
DFT (SCAN) results for a crystal of KTaAs2Se relaxed with PBEsol.

```
KTaAs2Se
1.0
4.9992 0.0000 0.0000
0.0000 4.9992 0.0000
0.0000 0.0000 5.0923
K Ta As Se
1 1 2 1
direct
0.0000 0.0000 0.0000
0.5000 0.5000 0.5000
0.0000 0.5000 0.5000
0.5000 0.0000 0.5000
0.5000 0.5000 0.0000
```

As for the density of states at the Fermi level: 2.44 states/eV per cell. As for the space-group type: No. 123. The total energy comes out at -137.12 eV per formula unit. Its spin magnetization is 0.000 μB/atom.

***

Entry 15:
DFT (SCAN) results for a crystal of AlMo2As relaxed with PBEsol.

```
AlMo2As
1.0
3.3320 0.0000 0.0000
0.0000 4.2813 0.0000
0.0000 0.0000 8.3662
Al Mo As
2 4 2
direct
0.0000 0.0000 0.0000
0.5000 0.5000 0.5000
0.0000 0.0000 0.4975
0.0000 0.5000 0.7520
0.5000 0.0000 0.2520
0.5000 0.5000 0.9975
0.0000 0.5000 0.2386
0.5000 0.0000 0.7386
```

As for the density of states at the Fermi level: 3.95 states/eV per cell. The value obtained for the calculated formation energy is -0.030 eV per atom. As for the space-group type: No. 44. The value obtained for the excess energy over the best structure of this formula in the dataset is 0 meV/atom. The total energy comes out at -97.83 eV per formula unit. Its spin magnetization is 0.000 μB/atom.

***

Entry 16:
DFT (SCAN) results for a crystal of Lu2Pt2O7 relaxed with PBEsol.

```
Lu2Pt2O7
1.0
0.0000 5.0014 5.0014
5.0014 0.0000 5.0014
5.0014 5.0014 0.0000
Lu Pt O
4 4 14
direct
0.0000 0.0000 0.0000
0.0000 0.0000 0.5000
0.0000 0.5000 0.0000
0.5000 0.0000 0.0000
0.0000 0.5000 0.5000
0.5000 0.0000 0.5000
0.5000 0.5000 0.0000
0.5000 0.5000 0.5000
0.1250 0.1250 0.1250
0.1552 0.1552 0.5948
0.1552 0.5948 0.1552
0.1552 0.5948 0.5948
0.4052 0.4052 0.8448
0.4052 0.8448 0.4052
0.4052 0.8448 0.8448
0.5948 0.1552 0.1552
0.5948 0.1552 0.5948
0.5948 0.5948 0.1552
0.8448 0.4052 0.4052
0.8448 0.4052 0.8448
0.8448 0.8448 0.4052
0.8750 0.8750 0.8750
```

As for the density of states at the Fermi level: 0.00 states/eV per cell. As for the space-group type: No. 227. The total energy comes out at -320.58 eV per formula unit. Its spin magnetization is 0.000 μB/atom.

***

Entry 17:
DFT (SCAN) results for a crystal of LiLa2In relaxed with PBEsol.

```
LiLa2In
1.0
3.5381 0.0000 0.0000
0.0000 4.9395 0.0000
-1.7835 0.0000 6.3832
Li La In
1 2 1
direct
0.0000 0.0000 0.0000
0.3858 0.5000 0.7728
0.7280 0.0000 0.4563
0.1154 0.5000 0.2311
```

As for the density of states at the Fermi level: 2.64 states/eV per cell. The value obtained for the calculated formation energy is -0.316 eV per atom. As for the space-group type: No. 6. The total energy comes out at -123.25 eV per formula unit. Its spin magnetization is 0.005 μB/atom.

***

Entry 18:
DFT (SCAN) results for a crystal of NaCa2O relaxed with PBEsol.

```
NaCa2O
1.0
7.0878 0.0000 0.0000
0.0000 7.0878 0.0000
0.0000 0.0000 9.9863
Na Ca O
4 8 4
direct
0.0000 0.0000 0.0000
0.0000 0.5000 0.2500
0.5000 0.0000 0.7500
0.5000 0.5000 0.5000
0.0577 0.7500 0.6250
0.2500 0.0577 0.3750
0.2500 0.4423 0.8750
0.4423 0.7500 0.1250
0.5577 0.2500 0.1250
0.7500 0.5577 0.8750
0.7500 0.9423 0.3750
0.9423 0.2500 0.6250
0.0000 0.0000 0.5000
0.0000 0.5000 0.7500
0.5000 0.0000 0.2500
0.5000 0.5000 0.0000
```

As for the density of states at the Fermi level: 7.95 states/eV per cell. As for the space-group type: No. 122. The total energy comes out at -35.50 eV per formula unit. Its spin magnetization is 0.015 μB/atom.

***

Entry 19:
DFT (SCAN) results for a crystal of Ti3HRh relaxed with PBEsol.

```
Ti3HRh
1.0
3.9776 0.0000 0.0000
0.0000 3.9776 0.0000
0.0000 0.0000 3.9776
Ti H Rh
3 1 1
direct
0.0000 0.0000 0.5000
0.0000 0.5000 0.0000
0.5000 0.0000 0.0000
0.0000 0.0000 0.0000
0.5000 0.5000 0.5000
```

As for the density of states at the Fermi level: 6.46 states/eV per cell. As for the space-group type: No. 221. The total energy comes out at -87.51 eV per formula unit. Its spin magnetization is 0.000 μB/atom.

***

Entry 20:
DFT (SCAN) results for a crystal of GaCuSb2Te relaxed with PBEsol.

```
GaCuSb2Te
1.0
5.1733 0.0000 0.0000
0.0000 5.1733 0.0000
0.0000 0.0000 5.2774
Ga Cu Sb Te
1 1 2 1
direct
0.0000 0.0000 0.0000
0.5000 0.5000 0.5000
0.0000 0.5000 0.0000
0.5000 0.0000 0.0000
0.0000 0.0000 0.5000
```

As for the density of states at the Fermi level: 3.87 states/eV per cell. As for the space-group type: No. 123. The value obtained for the excess energy over the best structure of this formula in the dataset is 481 meV/atom. The total energy comes out at -138.59 eV per formula unit. Its spin magnetization is 0.000 μB/atom.